Density functional theory data (PBE) for a relaxed Tb2PaCl crystal.

Cell and atoms, written as extended XYZ:
```
4
Lattice="1.6433 0.9488 11.0522 -1.6433 0.9488 11.0522 0.0000 -1.8975 11.0522" Properties=species:S:1:pos:R:3 pbc="T T T"
Tb 0.0000 0.0000 3.2613
Tb 0.0000 0.0000 29.8954
Pa 0.0000 0.0000 0.0000
Cl 0.0000 0.0000 16.5783
```

Computed properties:
Raw total energy   -21.85 eV/cell
Formation energy (no corrections)   -0.311 eV per atom
Space group   R-3m (166)

Density functional theory data (PBE) for a relaxed TbPa2Cl8 crystal.

Cell and atoms, written as extended XYZ:
```
11
Lattice="6.2673 -3.3595 0.0000 6.2673 3.3595 0.0000 -0.2164 0.0000 7.9270" Properties=species:S:1:pos:R:3 pbc="T T T"
Tb 0.0000 0.0000 0.0000
Pa 1.1003 0.0000 3.6828
Pa 11.2180 0.0000 4.2442
Cl 2.3961 0.0000 1.1694
Cl 5.6586 1.6844 1.9933
Cl 6.6597 1.6844 5.9337
Cl 3.6456 0.0000 4.5526
Cl 8.6726 0.0000 3.3744
Cl 5.6586 -1.6844 1.9933
Cl 6.6597 -1.6844 5.9337
Cl 9.9222 0.0000 6.7576
```

Computed properties:
Raw total energy   -57.32 eV/cell
Formation energy (no corrections)   -1.721 eV per atom
Space group   C2/m (12)

Density functional theory data (PBE) for a relaxed PaTeCl2 crystal.

Cell and atoms, written as extended XYZ:
```
4
Lattice="4.8372 0.0000 0.0000 0.0000 3.8288 0.0000 -2.3961 0.0000 7.3864" Properties=species:S:1:pos:R:3 pbc="T T T"
Pa 0.0000 0.0000 0.0000
Te 2.4195 1.9144 0.5816
Cl 0.0023 0.0000 2.5271
Cl 2.4441 1.9144 5.3477
```

Computed properties:
Raw total energy   -21.72 eV/cell
Formation energy (no corrections)   -1.347 eV per atom
Space group   Pm (6)
Distance to the lowest polymorph of the same formula   34.5 meV per atom

Density functional theory data (PBE) for a relaxed PaTe2Cl crystal.

Cell and atoms, written as extended XYZ:
```
4
Lattice="-2.0129 4.7342 3.2134 2.0129 -4.7342 3.2134 2.0129 4.7342 -3.2134" Properties=species:S:1:pos:R:3 pbc="T T T"
Pa 0.0000 0.0000 0.0000
Te 2.0129 -1.8220 1.4293
Te 2.0129 1.8220 1.4293
Cl 0.0000 4.7342 1.4060
```

Computed properties:
Raw total energy   -21.57 eV/cell
Formation energy (no corrections)   -0.985 eV per atom
Space group   Imm2 (44)

Density functional theory data (PBE) for a relaxed PaTeCl2 crystal.

Cell and atoms, written as extended XYZ:
```
8
Lattice="1.8874 -5.6871 0.0000 1.8874 5.6871 0.0000 0.0000 0.0000 12.5795" Properties=species:S:1:pos:R:3 pbc="T T T"
Pa 1.8874 3.4124 9.4347
Pa 1.8874 -3.4124 3.1449
Te 1.8874 4.6566 3.1449
Te 1.8874 -4.6566 9.4347
Cl 1.8874 1.5451 1.2765
Cl 1.8874 1.5451 5.0133
Cl 1.8874 -1.5451 7.5663
Cl 1.8874 -1.5451 11.3031
```

Computed properties:
Raw total energy   -43.72 eV/cell
Formation energy (no corrections)   -1.382 eV per atom
Space group   Cmcm (63)
Distance to the lowest polymorph of the same formula   0.0 meV per atom

Density functional theory data (PBE) for a relaxed Pa2TiCl8 crystal.

Cell and atoms, written as extended XYZ:
```
11
Lattice="6.7734 -3.2604 0.0000 6.7734 3.2604 0.0000 -0.0013 0.0000 7.0529" Properties=species:S:1:pos:R:3 pbc="T T T"
Pa 1.5584 0.0000 3.1535
Pa 11.9872 0.0000 3.8994
Ti 0.0000 0.0000 0.0000
Cl 2.4399 0.0000 0.6045
Cl 6.3625 1.6242 1.8698
Cl 7.1831 1.6242 5.1830
Cl 4.0729 0.0000 4.1758
Cl 9.4727 0.0000 2.8771
Cl 6.3625 -1.6242 1.8698
Cl 7.1831 -1.6242 5.1830
Cl 11.1057 0.0000 6.4484
```

Computed properties:
Raw total energy   -58.85 eV/cell
Formation energy (no corrections)   -1.563 eV per atom
Space group   C2/m (12)

The highest raw total energy belongs to which entry? PaTe2Cl